--- A ---
Here is KRb2CdGa after structural relaxation from Alexandria via LeMat-Bulk. Energies are from PBE.

Structure (extended XYZ):
```
5
Lattice="-5.230 -0.863 -4.812 -0.332 -6.968 1.610 -3.675 1.054 3.805" Properties=species:S:1:pos:R:3 pbc="T T T"
Rb -2.615 -0.431 -2.406
Ga -1.837 0.527 1.902
K -4.619 -3.388 0.301
Cd 0.000 0.000 0.000
Rb -0.166 -3.484 0.805
```

Values from the calculation:
- space-group type = P4/mmm (123)


--- B ---
Here is KRb2CdGa after structural relaxation from Alexandria via LeMat-Bulk. Energies are from PBE.

Structure (extended XYZ):
```
5
Lattice="7.076 0.000 0.000 0.000 7.076 0.000 0.000 0.000 5.335" Properties=species:S:1:pos:R:3 pbc="T T T"
Rb 0.000 3.538 0.000
K 3.538 3.538 2.667
Ga 0.000 0.000 0.000
Cd 0.000 0.000 2.667
Rb 3.538 0.000 0.000
```

Values from the calculation:
- space-group type = P4/mmm (123)


B takes first place; second place is 2.3 kJ/mol of atoms up.


--- A ---
Here is K2RbCdGa after structural relaxation from Alexandria via LeMat-Bulk. Energies are from PBE.

Structure (extended XYZ):
```
5
Lattice="-3.635 4.372 -3.602 -5.481 -1.632 3.550 1.152 3.900 3.571" Properties=species:S:1:pos:R:3 pbc="T T T"
K -2.740 -0.816 1.775
Cd 0.576 1.950 1.785
Ga 0.000 0.000 0.000
Rb -3.982 3.320 1.760
K -1.817 2.186 -1.801
```

Values from the calculation:
- space-group type = P4/mmm (123)


--- B ---
Here is K2RbCdGa after structural relaxation from Alexandria via LeMat-Bulk. Energies are from PBE.

Structure (extended XYZ):
```
5
Lattice="-1.612 -6.659 -0.021 2.001 -0.463 -6.537 4.998 -1.215 1.616" Properties=species:S:1:pos:R:3 pbc="T T T"
Cd 0.000 0.000 0.000
K 1.001 -0.232 -3.268
K -0.806 -3.330 -0.011
Rb 2.694 -4.169 -2.471
Ga 2.499 -0.607 0.808
```

Values from the calculation:
- space-group type = P4/mmm (123)


A takes first place; second place is 2.9 kJ/mol of atoms up.


--- A ---
Here is KCdGaSn2 after structural relaxation from Alexandria via LeMat-Bulk. Energies are from PBE.

Structure (extended XYZ):
```
5
Lattice="6.035 0.000 0.000 0.000 5.679 0.000 0.000 0.000 6.035" Properties=species:S:1:pos:R:3 pbc="T T T"
Sn 3.017 0.000 0.000
Cd 3.017 2.839 3.017
Ga 0.000 2.839 0.000
Sn 0.000 0.000 3.017
K 0.000 0.000 0.000
```

Values from the calculation:
- space-group type = P4/mmm (123)


--- B ---
Here is KCdGaSn2 after structural relaxation from Alexandria via LeMat-Bulk. Energies are from PBE.

Structure (extended XYZ):
```
5
Lattice="-1.994 -3.912 2.357 2.912 -3.070 -2.632 3.736 3.878 4.328" Properties=species:S:1:pos:R:3 pbc="T T T"
Ga 1.101 -1.763 3.274
Sn 3.172 0.293 3.169
K 0.000 0.000 0.000
Cd 3.554 -1.342 0.779
Sn 1.482 -3.397 0.885
```

Values from the calculation:
- space-group type = I-4m2 (119)


B takes first place; second place is 114.1 kJ/mol of atoms up.


--- A ---
Here is La3CdGa after structural relaxation from Alexandria via LeMat-Bulk. Energies are from PBE.

Structure (extended XYZ):
```
20
Lattice="-5.442 -4.119 2.527 2.544 -7.187 -6.241 6.485 -6.917 2.688" Properties=species:S:1:pos:R:3 pbc="T T T"
La 0.288 -8.366 -2.541
La 0.626 -13.255 0.695
La 4.051 -7.931 -4.210
Ga 5.127 -7.945 3.319
La 1.109 -2.106 -1.039
La -0.463 -10.292 3.184
Cd 2.182 -4.261 1.835
Cd 6.096 -11.768 0.337
La 0.656 -6.997 0.489
Ga -1.539 -10.278 -4.345
Cd 1.406 -13.962 -2.861
La 3.300 -9.857 1.515
La 2.478 -16.117 0.013
La -1.160 -4.132 1.252
La 4.748 -14.091 -2.278
La 2.931 -11.226 -1.515
Ga 3.152 -8.083 -1.144
Cd -2.508 -6.455 -1.363
Ga 0.436 -10.140 0.118
La 2.961 -4.968 -1.721
```

Values from the calculation:
- space-group type = Cccm (66)


--- B ---
Here is La3CdGa after structural relaxation from Alexandria via LeMat-Bulk. Energies are from PBE.

Structure (extended XYZ):
```
5
Lattice="6.112 0.000 0.000 0.000 6.112 0.000 0.000 0.000 6.112" Properties=species:S:1:pos:R:3 pbc="T T T"
Cd 0.000 0.000 0.000
Ga 3.056 3.056 3.056
La 0.000 3.056 0.000
La 3.056 0.000 0.000
La 0.000 0.000 3.056
```

Values from the calculation:
- space-group type = Pm-3m (221)


A takes first place; second place is 77.4 kJ/mol of atoms up.


--- A ---
Here is La6CdGa after structural relaxation from Alexandria via LeMat-Bulk. Energies are from PBE.

Structure (extended XYZ):
```
8
Lattice="-3.556 0.039 -4.091 -3.184 -3.429 2.735 -7.585 5.194 3.054" Properties=species:S:1:pos:R:3 pbc="T T T"
Ga -3.370 -1.695 -0.678
La -8.275 2.004 3.623
La -8.867 0.085 0.527
La -8.461 3.739 0.210
La -5.459 1.719 1.172
Cd 0.000 0.000 0.000
La -5.865 -1.934 1.489
La -6.051 -0.200 -1.924
```

Values from the calculation:
- space-group type = I4/mmm (139)


--- B ---
Here is La6CdGa after structural relaxation from Alexandria via LeMat-Bulk. Energies are from PBE.

Structure (extended XYZ):
```
8
Lattice="8.707 -0.382 0.457 4.037 7.738 0.293 4.257 2.541 4.029" Properties=species:S:1:pos:R:3 pbc="T T T"
La 3.395 0.931 0.997
La 11.490 4.116 1.929
Ga 8.501 4.949 2.390
La 5.512 5.781 2.850
Cd 0.000 0.000 0.000
La 6.840 2.472 1.409
La 10.161 7.425 3.371
La 13.606 8.966 3.782
```

Values from the calculation:
- space-group type = P-1 (2)


A takes first place; second place is 5.0 kJ/mol of atoms up.


--- A ---
Here is La2Cd3Ga after structural relaxation from Alexandria via LeMat-Bulk. Energies are from PBE.

Structure (extended XYZ):
```
6
Lattice="3.731 0.000 0.000 0.000 4.967 0.000 0.000 0.000 8.588" Properties=species:S:1:pos:R:3 pbc="T T T"
Cd 1.865 0.000 1.440
La 0.000 0.000 4.191
La 0.000 2.484 0.112
Cd 1.865 0.000 7.132
Ga 1.865 2.484 2.892
Cd 1.865 2.484 5.703
```

Values from the calculation:
- space-group type = Pmm2 (25)


--- B ---
Here is La2Cd3Ga after structural relaxation from Alexandria via LeMat-Bulk. Energies are from PBE.

Structure (extended XYZ):
```
6
Lattice="4.605 0.000 -1.226 -0.302 3.992 -1.135 -0.053 0.403 9.065" Properties=species:S:1:pos:R:3 pbc="T T T"
Ga 1.741 4.159 6.539
La 3.935 1.866 5.519
La 0.483 0.552 1.814
Cd 1.079 3.403 4.055
Cd 3.028 2.999 2.114
Cd 2.334 2.205 -0.495
```

Values from the calculation:
- space-group type = Imm2 (44)


A takes first place; second place is 7.5 kJ/mol of atoms up.


--- A ---
Here is La4CdGa after structural relaxation from Alexandria via LeMat-Bulk. Energies are from PBE.

Structure (extended XYZ):
```
12
Lattice="-4.491 -1.881 7.430 2.656 -4.584 0.445 7.340 4.475 2.289" Properties=species:S:1:pos:R:3 pbc="T T T"
La -0.690 -0.094 3.149
La 2.648 -1.234 3.244
La 1.730 -4.467 7.182
Ga 1.425 1.297 4.859
Ga 4.998 -0.055 1.367
La -1.607 -3.327 7.086
Cd 0.000 0.000 0.000
La 6.195 -1.896 7.014
Cd -0.917 -3.233 3.937
La 2.858 -0.756 6.919
La 7.112 1.336 3.077
La 3.775 2.477 2.981
```

Values from the calculation:
- space-group type = C2/m (12)


--- B ---
Here is La4CdGa after structural relaxation from Alexandria via LeMat-Bulk. Energies are from PBE.

Structure (extended XYZ):
```
6
Lattice="-3.770 0.909 0.770 -3.451 -0.956 -5.618 -2.226 -5.787 6.087" Properties=species:S:1:pos:R:3 pbc="T T T"
La -2.703 -1.389 -1.447
La -7.381 -4.149 -0.791
La -6.743 -4.444 2.686
Cd 0.000 0.000 0.000
Ga -4.723 -2.917 0.620
La -2.065 -1.684 2.030
```

Values from the calculation:
- space-group type = C2/m (12)


B takes first place; second place is 10.6 kJ/mol of atoms up.


--- A ---
Here is LaCdGa4 after structural relaxation from Alexandria via LeMat-Bulk. Energies are from PBE.

Structure (extended XYZ):
```
24
Lattice="-2.357 3.250 -1.124 0.085 -2.613 -7.733 -12.990 -8.480 2.722" Properties=species:S:1:pos:R:3 pbc="T T T"
Ga -1.566 -0.952 -7.200
Ga -8.082 -4.560 -3.968
Ga -1.790 0.208 -3.375
Ga -5.043 -3.522 -7.338
Ga -13.471 -8.051 -2.759
Ga -5.188 -1.770 -1.969
Ga -11.690 -5.794 0.031
Ga -10.219 -4.321 1.203
Ga -13.695 -6.891 1.065
Cd -5.307 -3.836 0.038
Ga -7.180 -3.283 -2.166
Ga -10.074 -6.073 -4.165
La -10.969 -9.487 -4.424
Ga -3.572 -2.049 -6.165
Ga -6.954 -4.497 -6.151
La -1.935 -1.606 -0.587
La -4.495 -4.612 -3.908
Ga -8.308 -3.346 0.016
Ga -3.684 -1.300 -3.765
La -8.409 -6.481 -1.103
Ga -11.577 -6.543 -2.370
Cd -7.597 -7.257 -5.049
Cd -1.121 -2.438 -4.697
Cd -11.783 -8.655 -0.314
```

Values from the calculation:
- space-group type = Pbam (55)


--- B ---
Here is LaCdGa4 after structural relaxation from Alexandria via LeMat-Bulk. Energies are from PBE.

Structure (extended XYZ):
```
6
Lattice="-4.557 3.371 0.422 -4.801 -1.357 -2.724 -4.547 -1.723 2.943" Properties=species:S:1:pos:R:3 pbc="T T T"
Ga -6.413 -1.500 0.190
Ga -8.687 0.182 0.400
Cd 0.000 0.000 0.000
La -3.476 0.073 0.160
Ga -6.291 0.859 1.759
Ga -6.418 1.042 -1.068
```

Values from the calculation:
- space-group type = F-43m (216)


A takes first place; second place is 4.0 kJ/mol of atoms up.


--- A ---
Here is La6Cd2Ga after structural relaxation from Alexandria via LeMat-Bulk. Energies are from PBE.

Structure (extended XYZ):
```
9
Lattice="5.595 0.000 0.000 -2.797 4.845 0.007 0.000 -0.014 10.611" Properties=species:S:1:pos:R:3 pbc="T T T"
La 0.000 3.224 4.226
Cd 0.000 3.220 7.571
La 0.000 -0.012 8.612
Cd 2.797 1.611 3.046
La 0.000 3.230 0.212
La 2.797 1.606 6.392
La 2.797 4.842 2.005
La 2.797 1.601 10.405
Ga 0.000 -0.007 5.305
```

Values from the calculation:
- space-group type = P-3m1 (164)


--- B ---
Here is La6Cd2Ga after structural relaxation from Alexandria via LeMat-Bulk. Energies are from PBE.

Structure (extended XYZ):
```
18
Lattice="-0.552 3.476 -8.436 0.048 -9.109 -0.759 -7.114 3.181 4.779" Properties=species:S:1:pos:R:3 pbc="T T T"
Cd -1.254 -3.658 -4.028
La -5.156 0.946 -3.390
Ga -3.533 -2.964 2.010
La -2.461 -3.399 -1.027
La -2.755 2.961 -4.756
La -5.910 0.577 3.054
La -0.919 0.668 -6.696
Cd -2.808 2.438 -1.340
La -4.322 -2.188 -4.760
La -1.707 -3.030 -7.471
La -1.462 -0.289 -2.996
Ga 0.000 0.000 0.000
Cd -4.858 4.218 -2.318
La -3.295 -0.265 0.343
La -6.699 -3.121 2.279
Cd -6.363 1.205 -0.389
La -4.862 -5.414 0.339
La -6.156 -2.164 -1.421
```

Values from the calculation:
- space-group type = Immm (71)


A takes first place; second place is 2.4 kJ/mol of atoms up.


--- A ---
Here is LaSmCdGa after structural relaxation from Alexandria via LeMat-Bulk. Energies are from PBE.

Structure (extended XYZ):
```
4
Lattice="5.374 0.000 0.000 2.687 4.654 0.000 2.687 1.551 4.388" Properties=species:S:1:pos:R:3 pbc="T T T"
Ga 2.687 1.551 1.097
Sm 5.374 3.103 2.194
Cd 8.061 4.654 3.291
La 0.000 0.000 0.000
```

Values from the calculation:
- space-group type = F-43m (216)


--- B ---
Here is LaSmCdGa after structural relaxation from Alexandria via LeMat-Bulk. Energies are from PBE.

Structure (extended XYZ):
```
4
Lattice="-3.483 0.471 1.139 1.081 -0.474 3.501 1.275 7.827 0.666" Properties=species:S:1:pos:R:3 pbc="T T T"
Sm -0.450 4.610 2.713
Ga 0.471 2.892 0.246
Cd 1.074 6.593 0.561
La -1.039 0.993 2.405
```

Values from the calculation:
- space-group type = P4mm (99)


B takes first place; second place is 1.9 kJ/mol of atoms up.


--- A ---
Here is LaTbCdGa after structural relaxation from Alexandria via LeMat-Bulk. Energies are from PBE.

Structure (extended XYZ):
```
4
Lattice="-4.982 -0.981 1.644 -0.836 -2.938 4.377 -1.845 2.303 4.448" Properties=species:S:1:pos:R:3 pbc="T T T"
Ga -1.916 -0.404 2.617
La -3.832 -0.808 5.234
Tb 0.000 0.000 0.000
Cd -5.747 -1.212 7.851
```

Values from the calculation:
- space-group type = F-43m (216)


--- B ---
Here is LaTbCdGa after structural relaxation from Alexandria via LeMat-Bulk. Energies are from PBE.

Structure (extended XYZ):
```
4
Lattice="3.681 0.000 0.000 0.000 3.681 0.000 0.000 0.000 7.836" Properties=species:S:1:pos:R:3 pbc="T T T"
La 1.840 1.840 0.998
Tb 1.840 1.840 4.621
Cd 0.000 0.000 6.548
Ga 0.000 0.000 2.941
```

Values from the calculation:
- space-group type = P4mm (99)


B takes first place; second place is 2.5 kJ/mol of atoms up.


--- A ---
Here is Li3CdGa after structural relaxation from Alexandria via LeMat-Bulk. Energies are from PBE.

Structure (extended XYZ):
```
10
Lattice="2.820 0.002 0.000 -0.010 7.133 0.000 0.000 0.000 8.918" Properties=species:S:1:pos:R:3 pbc="T T T"
Ga 1.410 0.001 4.459
Li 2.817 0.016 2.229
Ga 1.410 0.001 0.000
Cd 1.406 4.530 2.229
Li 0.004 2.325 3.856
Li -0.008 7.119 6.688
Li 2.805 4.810 8.314
Cd 1.404 2.605 6.688
Li 2.805 4.810 5.062
Li 0.004 2.325 0.603
```

Values from the calculation:
- space-group type = P2_1/m (11)


--- B ---
Here is Li3CdGa after structural relaxation from Alexandria via LeMat-Bulk. Energies are from PBE.

Structure (extended XYZ):
```
5
Lattice="4.973 0.000 0.000 0.000 4.973 0.000 0.000 0.000 4.973" Properties=species:S:1:pos:R:3 pbc="T T T"
Li 0.000 0.000 2.486
Cd 0.000 0.000 0.000
Ga 2.486 2.486 2.486
Li 0.000 2.486 0.000
Li 2.486 0.000 0.000
```

Values from the calculation:
- space-group type = Pm-3m (221)


A takes first place; second place is 41.1 kJ/mol of atoms up.